Entry i
# LiHo2Ga

An optimized crystal structure of LiHo2Ga (PBE, Alexandria).

abc: 3.703 5.004 5.004
angles: 90.00 90.00 90.00
Positions (direct):
Li: 0.500 0.500 0.500
Ga: 0.500 0.000 0.000
Ho: 0.000 0.500 0.000
Ho: 0.000 0.000 0.500

Output
Magnetic moment ... 0.00 μB/f.u.

Entry ii
# LiHo2Ga

An optimized crystal structure of LiHo2Ga (PBE, Alexandria).

abc: 5.069 5.069 5.069
angles: 60.00 60.00 60.00
Positions (direct):
Ga: 0.500 0.500 0.500
Ho: 0.750 0.750 0.750
Ho: 0.250 0.250 0.250
Li: 0.000 0.000 0.000

Output
Magnetic moment ... 0.00 μB/f.u.

Which one is most stable, and which one is least stable? entry ii is the most stable of them, while entry i is the least stable.

Entry i
# HoLu2Ga

An optimized crystal structure of HoLu2Ga (PBE, Alexandria).

abc: 4.660 4.643 4.643
angles: 90.00 90.00 90.00
Positions (direct):
Ga: 0.500 0.500 0.500
Lu: 0.000 0.500 0.000
Lu: 0.000 0.000 0.500
Ho: 0.500 0.000 0.000

Output
Magnetic moment ... 0.00 μB/f.u.

Entry ii
# HoLu2Ga

An optimized crystal structure of HoLu2Ga (PBE, Alexandria).

abc: 3.423 3.423 11.266
angles: 81.26 81.26 60.00
Each line ends with the local moment (μB).
Positions (direct):
Ho: 0.000 0.000 0.000  -0.34
Lu: 0.102 0.102 0.695  -0.09
Lu: 0.898 0.898 0.305  -0.09
Ga: 0.500 0.500 0.500  0.00

Output
Magnetic moment ... 0.75 μB/f.u.

Which one is most stable, and which one is least stable? entry i is the most stable of them, while entry ii is the least stable.